Bi2IBr3, optimized geometry, DFT GGA-PBE; space group = C2/m (12); DOS(E_F) = 1.0 states/eV/f.u.; energy relative to the elements, uncorrected = -0.41 eV/atom; energy = -33.61 eV/cell
1.0
10.280 -3.053 0.000
10.280 3.053 0.000
-4.314 0.000 10.035
Bi I Br
4 2 6
Direct
0.026 0.026 0.157
0.284 0.284 0.500
0.716 0.716 0.500
0.974 0.974 0.843
0.425 0.425 0.812
0.575 0.575 0.188
0.105 0.105 0.855
0.199 0.199 0.235
0.393 0.393 0.430
0.607 0.607 0.570
0.801 0.801 0.765
0.895 0.895 0.145